DFT (PBE) results for La6Dy2YEr after structural relaxation.

a = 6.727 Å, b = 6.727 Å, c = 9.125 Å
α = 103.21°, β = 103.21°, γ = 63.22°
Sites, in units of the cell vectors:
La: 0.088 0.533 0.194
La: 0.132 0.132 0.426
La: 0.467 0.912 0.806
La: 0.533 0.088 0.194
La: 0.868 0.868 0.574
La: 0.912 0.467 0.806
Dy: 0.421 0.421 0.830
Dy: 0.579 0.579 0.170
Y: 0.500 0.500 0.500
Er: 0.000 0.000 0.000

- ΔH_f (0 K): 0.195 eV per atom
- Magnetic moment: 0.000 μB per cell